First-principles (PBE) data for a relaxed structure of ScTl3Te6Pb2, as listed in the Alexandria database.

Geometry as POSCAR:
```
ScTl3Te6Pb2
1.0
3.9734 -6.8221 0.0000
3.9734 6.8221 0.0000
-2.6884 0.0000 7.5317
Sc Tl Te Pb
1 3 6 2
Direct
0.0000 0.0000 0.0000
0.1762 0.8238 0.5000
0.5000 0.5000 0.5000
0.8238 0.1762 0.5000
0.0731 0.3807 0.2216
0.2238 0.2238 0.7652
0.3807 0.0731 0.2216
0.6193 0.9269 0.7784
0.7762 0.7762 0.2348
0.9269 0.6193 0.7784
0.3374 0.6626 0.0000
0.6626 0.3374 0.0000
```

## Properties
E_form (uncorrected) in eV per atom: -0.48
Spin magnetization in μB/f.u.: 0.00



First-principles (PBE) data for a relaxed structure of Th3ScPb12, as listed in the Alexandria database.

Geometry as POSCAR:
```
Th3ScPb12
1.0
4.9455 0.0000 0.0000
0.0000 4.9455 0.0000
0.0000 0.0000 19.0238
Th Sc Pb
3 1 12
Direct
0.0000 0.0000 0.0000
0.0000 0.0000 0.2512
0.0000 0.0000 0.7488
0.0000 0.0000 0.5000
0.0000 0.5000 0.1268
0.0000 0.5000 0.3820
0.0000 0.5000 0.6180
0.0000 0.5000 0.8732
0.5000 0.0000 0.1268
0.5000 0.0000 0.3820
0.5000 0.0000 0.6180
0.5000 0.0000 0.8732
0.5000 0.5000 0.0000
0.5000 0.5000 0.2546
0.5000 0.5000 0.5000
0.5000 0.5000 0.7454
```

## Properties
E_form in eV/f.u.: -3.31
Spin magnetization in μB/f.u.: 0.00



First-principles (PBE) data for a relaxed structure of Th2ScPb3, as listed in the Alexandria database.

Geometry as POSCAR:
```
Th2ScPb3
1.0
-2.2908 3.1961 6.5243
2.2908 -3.1961 6.5243
2.2908 3.1961 -6.5243
Th Sc Pb
2 1 3
Direct
0.1723 0.1723 0.0000
0.8277 0.8277 0.0000
0.5000 0.5000 0.0000
0.0000 0.5000 0.5000
0.3478 0.8478 0.5000
0.6522 0.1522 0.5000
```

## Properties
E_form in eV/f.u.: -1.25
Spin magnetization in μB/f.u.: 0.00



First-principles (PBE) data for a relaxed structure of Th12Sc3Pb5, as listed in the Alexandria database.

Geometry as POSCAR:
```
Th12Sc3Pb5
1.0
-9.2627 9.2627 9.2627
9.2627 -9.2627 9.2627
9.2627 9.2627 -9.2627
Th Sc Pb
48 12 20
Direct
0.0672 0.2288 0.1406
0.0672 0.3384 0.9266
0.0734 0.6406 0.4118
0.0734 0.9328 0.6616
0.0882 0.7288 0.6616
0.0882 0.8594 0.4266
0.1406 0.0672 0.2288
0.1406 0.5734 0.9118
0.1616 0.2288 0.5882
0.1616 0.4328 0.5734
0.2288 0.1406 0.0672
0.2288 0.5882 0.1616
0.2712 0.3384 0.9118
0.2712 0.4328 0.3594
0.3384 0.9118 0.2712
0.3384 0.9266 0.0672
0.3594 0.2712 0.4328
0.3594 0.5882 0.9266
0.4118 0.0734 0.6406
0.4118 0.8384 0.7712
0.4266 0.0882 0.8594
0.4266 0.8384 0.5672
0.4328 0.3594 0.2712
0.4328 0.5734 0.1616
0.5672 0.4266 0.8384
0.5672 0.6406 0.7288
0.5734 0.1616 0.4328
0.5734 0.9118 0.1406
0.5882 0.1616 0.2288
0.5882 0.9266 0.3594
0.6406 0.4118 0.0734
0.6406 0.7288 0.5672
0.6616 0.0734 0.9328
0.6616 0.0882 0.7288
0.7288 0.5672 0.6406
0.7288 0.6616 0.0882
0.7712 0.4118 0.8384
0.7712 0.8594 0.9328
0.8384 0.5672 0.4266
0.8384 0.7712 0.4118
0.8594 0.4266 0.0882
0.8594 0.9328 0.7712
0.9118 0.1406 0.5734
0.9118 0.2712 0.3384
0.9266 0.0672 0.3384
0.9266 0.3594 0.5882
0.9328 0.6616 0.0734
0.9328 0.7712 0.8594
0.1250 0.2500 0.3750
0.1250 0.3750 0.7500
0.2500 0.3750 0.1250
0.2500 0.8750 0.6250
0.3750 0.1250 0.2500
0.3750 0.7500 0.1250
0.6250 0.2500 0.8750
0.6250 0.8750 0.7500
0.7500 0.1250 0.3750
0.7500 0.6250 0.8750
0.8750 0.6250 0.2500
0.8750 0.7500 0.6250
0.0000 0.0000 0.0000
0.0000 0.0000 0.5000
0.0000 0.5000 0.0000
0.0000 0.5000 0.5000
0.1250 0.7500 0.8750
0.1250 0.8750 0.2500
0.2500 0.1250 0.8750
0.2500 0.6250 0.3750
0.3750 0.2500 0.6250
0.3750 0.6250 0.7500
0.5000 0.0000 0.0000
0.5000 0.0000 0.5000
0.5000 0.5000 0.0000
0.5000 0.5000 0.5000
0.6250 0.3750 0.2500
0.6250 0.7500 0.3750
0.7500 0.3750 0.6250
0.7500 0.8750 0.1250
0.8750 0.1250 0.7500
0.8750 0.2500 0.1250
```

## Properties
E_form in eV/f.u.: 13.16
Spin magnetization in μB/f.u.: 0.00